An optimized crystal structure of LaAgHg, computed with PBE-GGA.

The structure in POSCAR format:
```
LaAgHg
1.0
4.986 0.000 0.000
-2.493 4.318 0.000
0.000 0.000 3.575
Ag Hg La
1 1 1
direct
0.000 0.000 0.166 Ag
0.667 0.333 0.167 Hg
0.333 0.667 0.667 La
```

Output
Its formation enthalpy at 0 K is -0.42 eV per atom. The space-group type is P-6m2. The density of states at the Fermi level is 1.59 states/eV/f.u.

=====

An optimized crystal structure of Ce7InPb3, computed with PBE-GGA.

The structure in POSCAR format:
```
Ce7InPb3
1.0
-0.537 -3.538 -4.981
-4.526 -2.861 6.294
-4.153 7.097 -0.820
Pb In Ce
3 1 7
direct
0.500 0.000 0.000 Pb
0.000 0.759 0.241 Pb
0.000 0.241 0.759 Pb
0.500 0.500 0.500 In
0.645 0.389 0.900 Ce
0.645 0.900 0.389 Ce
0.000 0.500 0.500 Ce
0.355 0.611 0.100 Ce
0.151 0.151 0.151 Ce
0.849 0.849 0.849 Ce
0.355 0.100 0.611 Ce
```

Output
Its formation enthalpy at 0 K is -0.19 eV per atom. The space-group type is Immm. The density of states at the Fermi level is 33.29 states/eV/f.u.

=====

An optimized crystal structure of TlCuSe2, computed with PBE-GGA.

The structure in POSCAR format:
```
TlCuSe2
1.0
-3.204 -1.955 -1.989
0.384 -4.515 3.820
-2.775 1.935 2.569
Se Cu Tl
2 1 1
direct
0.500 0.204 0.374 Se
0.000 0.796 0.876 Se
0.500 0.000 0.874 Cu
0.000 0.500 0.376 Tl
```

Output
The space-group type is Pm. The formation energy from raw total energies comes out at -0.23 eV per atom. The density of states at the Fermi level is 1.09 states/eV/f.u.

=====

An optimized crystal structure of AcNbPdO6, computed with PBE-GGA.

The structure in POSCAR format:
```
AcNbPdO6
1.0
5.340 0.000 0.000
-2.670 4.625 0.000
0.000 0.000 10.799
Pd O Nb Ac
2 12 2 2
direct
0.333 0.667 0.750 Pd
0.667 0.333 0.250 Pd
0.626 0.998 0.355 O
0.372 0.998 0.145 O
0.628 0.002 0.855 O
0.628 0.626 0.645 O
0.998 0.372 0.645 O
0.372 0.374 0.355 O
0.002 0.374 0.145 O
0.998 0.626 0.855 O
0.374 0.372 0.855 O
0.626 0.628 0.145 O
0.002 0.628 0.355 O
0.374 0.002 0.645 O
0.667 0.333 0.750 Nb
0.333 0.667 0.250 Nb
0.000 0.000 0.500 Ac
0.000 0.000 0.000 Ac
```

Output
The space-group type is P-31c. The formation energy from raw total energies comes out at -2.12 eV per atom.

=====

An optimized crystal structure of AcAsPPd3, computed with PBE-GGA.

The structure in POSCAR format:
```
AcAsPPd3
1.0
-0.684 -5.055 3.663
3.037 -3.685 -4.517
3.674 2.990 4.813
P Pd As Ac
2 6 2 2
direct
0.750 0.031 0.062 P
0.250 0.969 0.938 P
0.500 0.280 0.000 Pd
0.250 0.164 0.329 Pd
0.000 0.280 0.000 Pd
0.750 0.836 0.671 Pd
0.500 0.720 0.000 Pd
0.000 0.720 0.000 Pd
0.750 0.627 0.253 As
0.250 0.373 0.747 As
0.250 0.723 0.445 Ac
0.750 0.277 0.555 Ac
```

Output
Its formation enthalpy at 0 K is -0.74 eV per atom. The space-group type is Cmcm. The density of states at the Fermi level is 2.72 states/eV/f.u.

=====

An optimized crystal structure of Y4PtSe2S, computed with PBE-GGA.

The structure in POSCAR format:
```
Y4PtSe2S
1.0
3.996 0.000 0.000
0.000 7.129 -0.173
0.000 2.479 6.656
Pt Y Se S
1 4 2 1
direct
0.500 0.500 0.000 Pt
0.000 0.732 0.759 Y
0.500 0.736 0.256 Y
0.000 0.268 0.241 Y
0.500 0.264 0.744 Y
0.000 0.000 0.000 Se
0.500 0.000 0.500 Se
0.000 0.500 0.500 S
```

Output
The space-group type is P2/m. The formation energy from raw total energies comes out at -1.69 eV per atom. The density of states at the Fermi level is 4.36 states/eV/f.u.

=====

DFT total energy (computed, eV/atom): -3.112; -5.229; -3.592; -7.581; -5.694; -7.061